No. 1
A plane-wave DFT calculation with PBE was carried out for a relaxed LuSc2Be crystal.

abc: 3.2472 3.2472 8.1661
angles: 90.00 90.00 90.00
Positions (direct):
Lu 0.0000 0.0000 0.0000
Sc 0.5000 0.5000 0.3127
Sc 0.5000 0.5000 0.6873
Be 0.0000 0.0000 0.5000

Properties
space group	P4/mmm
E_form	27	meV/atom

No. 2
A plane-wave DFT calculation with PBE was carried out for a relaxed LuScBeTc crystal.

abc: 4.6457 4.6457 4.6457
angles: 60.00 60.00 60.00
Positions (direct):
Lu 0.0000 0.0000 0.0000
Sc 0.5000 0.5000 0.5000
Be 0.2500 0.2500 0.2500
Tc 0.7500 0.7500 0.7500

Properties
space group	F-43m
E_form	-58	meV/atom

No. 3
A plane-wave DFT calculation with PBE was carried out for a relaxed LuScBeTl crystal.

abc: 4.9372 4.9372 4.9372
angles: 60.00 60.00 60.00
Positions (direct):
Lu 0.0000 0.0000 0.0000
Sc 0.5000 0.5000 0.5000
Be 0.2500 0.2500 0.2500
Tl 0.7500 0.7500 0.7500

Properties
space group	F-43m
E_form	-27	meV/atom

No. 4
A plane-wave DFT calculation with PBE was carried out for a relaxed Lu2BeSe crystal.

abc: 9.4600 9.4600 9.4600
angles: 22.22 22.22 22.22
Positions (direct):
Lu 0.1010 0.1010 0.1010
Lu 0.8990 0.8990 0.8990
Be 0.0000 0.0000 0.0000
Se 0.5000 0.5000 0.5000

Properties
space group	R-3m
energy relative to the elements, uncorrected	0.021	eV/atom

No. 5
A plane-wave DFT calculation with PBE was carried out for a relaxed Lu2BeSi crystal.

abc: 9.8402 9.8402 9.8402
angles: 19.86 19.86 19.86
Positions (direct):
Lu 0.0973 0.0973 0.0973
Lu 0.9027 0.9027 0.9027
Be 0.0000 0.0000 0.0000
Si 0.5000 0.5000 0.5000

Properties
space group	R-3m
energy relative to the elements, uncorrected	0.515	eV/atom

No. 6
A plane-wave DFT calculation with PBE was carried out for a relaxed SmLuBe2 crystal.

abc: 3.3964 3.3964 6.8433
angles: 90.00 90.00 90.00
Positions (direct):
Sm 0.0000 0.0000 0.0000
Lu 0.0000 0.0000 0.5000
Be 0.5000 0.5000 0.2802
Be 0.5000 0.5000 0.7198

Properties
space group	P4/mmm
E_form	112	meV/atom

No. 7
A plane-wave DFT calculation with PBE was carried out for a relaxed SmLu2Be crystal.

abc: 3.3885 3.3885 8.6769
angles: 90.00 90.00 90.00
Positions (direct):
Sm 0.0000 0.0000 0.0000
Lu 0.5000 0.5000 0.3116
Lu 0.5000 0.5000 0.6884
Be 0.0000 0.0000 0.5000

Properties
space group	P4/mmm
E_form	47	meV/atom
energy relative to the lowest polymorph listed for this composition	0	meV/atom

No. 8
A plane-wave DFT calculation with PBE was carried out for a relaxed SmLu2Be crystal.

abc: 11.4238 11.4238 11.4238
angles: 17.16 17.16 17.16
Positions (direct):
Sm 0.0000 0.0000 0.0000
Lu 0.4165 0.4165 0.4165
Lu 0.5835 0.5835 0.5835
Be 0.5000 0.5000 0.5000

Properties
space group	R-3m
E_form	695	meV/atom
energy relative to the lowest polymorph listed for this composition	648	meV/atom

No. 9
A plane-wave DFT calculation with PBE was carried out for a relaxed SmLuBeZn crystal.

abc: 4.9469 4.9469 4.9469
angles: 60.00 60.00 60.00
Positions (direct):
Sm 0.0000 0.0000 0.0000
Lu 0.5000 0.5000 0.5000
Be 0.2500 0.2500 0.2500
Zn 0.7500 0.7500 0.7500

Properties
space group	F-43m
E_form	-91	meV/atom

No. 10
A plane-wave DFT calculation with PBE was carried out for a relaxed TbLuBe4 crystal.

abc: 4.9968 4.9968 4.9968
angles: 60.00 60.00 60.00
Positions (direct):
Tb 0.0000 0.0000 0.0000
Lu 0.2500 0.2500 0.2500
Be 0.1241 0.6253 0.6253
Be 0.6253 0.1241 0.6253
Be 0.6253 0.6253 0.1241
Be 0.6253 0.6253 0.6253

Properties
space group	F-43m
E_form	74	meV/atom

No. 11
A plane-wave DFT calculation with PBE was carried out for a relaxed Lu2BeTc crystal.

abc: 3.4185 3.4185 6.4741
angles: 90.00 90.00 90.00
Positions (direct):
Lu 0.0000 0.0000 0.2448
Lu 0.0000 0.0000 0.7552
Be 0.5000 0.5000 0.5000
Tc 0.5000 0.5000 0.0000

Properties
space group	P4/mmm
E_form	-4	meV/atom

No. 12
A plane-wave DFT calculation with PBE was carried out for a relaxed LuTiBeTc crystal.

abc: 4.5280 4.5280 4.5280
angles: 60.00 60.00 60.00
Positions (direct):
Lu 0.0000 0.0000 0.0000
Ti 0.5000 0.5000 0.5000
Be 0.7500 0.7500 0.7500
Tc 0.2500 0.2500 0.2500

Properties
space group	F-43m
E_form	-79	meV/atom

Result set for E_tot: -5.201, -6.294, -4.263, -4.042, -4.033, -4.061, -4.325, -3.676, -3.651, -3.936, -5.787, -6.706 eV/atom, one per record in the order listed.